Record 1
# Ce3Ag2Hg4 | Alexandria via LeMat-Bulk | PBE | optimized geometry
# electronic total energy: -27.60 eV/cell
# density of states at the Fermi level: 16.2 states/eV/cell
# spin magnetization: 3.419 μB/cell
# energy relative to the elements: -0.321 eV/atom
# space-group type: C2/m
data_Ce3Ag2Hg4
_chemical_formula_sum 'Ce3 Ag2 Hg4'
_cell_length_a 5.0345
_cell_length_b 6.0306
_cell_length_c 9.3231
_cell_angle_alpha 118.95
_cell_angle_beta 90.00
_cell_angle_gamma 114.67
_symmetry_space_group_name_H-M 'P 1'
_symmetry_Int_Tables_number 1
loop_
_symmetry_equiv_pos_as_xyz
'x,y,z'
loop_
_atom_site_label
_atom_site_fract_x
_atom_site_fract_y
_atom_site_fract_z
Hg1 0.9389 0.8778 0.6102
Hg2 0.7161 0.4321 0.0553
Hg3 0.2839 0.5679 0.9447
Hg4 0.0611 0.1222 0.3898
Ce1 0.6652 0.3305 0.6653
Ce2 0.0000 0.0000 0.0000
Ce3 0.3348 0.6695 0.3347
Ag1 0.6105 0.2211 0.2786
Ag2 0.3895 0.7789 0.7214



Record 2
# Ce2AgHg | Alexandria via LeMat-Bulk | PBE | optimized geometry
# electronic total energy: -15.72 eV/cell
# density of states at the Fermi level: 11.0 states/eV/cell
# spin magnetization: 1.493 μB/cell
# energy relative to the elements: -0.175 eV/atom
# space-group type: Cmmm
data_Ce2AgHg
_chemical_formula_sum 'Ce2 Ag1 Hg1'
_cell_length_a 3.2810
_cell_length_b 5.6772
_cell_length_c 5.6772
_cell_angle_alpha 110.20
_cell_angle_beta 90.00
_cell_angle_gamma 90.00
_symmetry_space_group_name_H-M 'P 1'
_symmetry_Int_Tables_number 1
loop_
_symmetry_equiv_pos_as_xyz
'x,y,z'
loop_
_atom_site_label
_atom_site_fract_x
_atom_site_fract_y
_atom_site_fract_z
Hg1 0.5000 0.0000 0.5000
Ag1 0.5000 0.5000 0.0000
Ce1 0.0000 0.5000 0.5000
Ce2 0.0000 0.0000 0.0000